Entry 1:
Material: Na2CdInH
Method: DFT, PBE
State: relaxed

- Total magnetic moment: 0.0000 μB/atom
- Offset from the most stable computed form: 0 meV per atom
- Space group: P4/mmm (123)

Unit cell a=4.628 b=4.628 c=4.969 alpha=90.00 beta=90.00 gamma=90.00
Sites, in units of the cell vectors:
Cd  0.500  0.500  0.500
In  0.000  0.000  0.500
H  0.000  0.000  0.000
Na  0.000  0.500  0.000
Na  0.500  0.000  0.000

Entry 2:
Material: BaNi4H8
Method: DFT, PBE
State: relaxed

- Total magnetic moment: 0.0000 μB/atom
- DFT total energy: -4.153 eV per atom
- Space group: R-3m (166)

Unit cell a=5.201 b=5.201 c=6.722 alpha=67.24 beta=67.24 gamma=60.00
Sites, in units of the cell vectors:
Ni  0.000  0.500  0.000
H  0.714  0.714  0.858
Ni  0.000  0.000  0.000
H  0.284  0.791  0.135
Ni  0.500  0.500  0.000
Ba  0.500  0.500  0.500
H  0.791  0.284  0.135
H  0.209  0.209  0.865
H  0.791  0.791  0.135
H  0.286  0.286  0.142
H  0.209  0.716  0.865
Ni  0.500  0.000  0.000
H  0.716  0.209  0.865

Entry 3:
Material: Ce6TcAu3
Method: DFT, PBE
State: relaxed

- Total magnetic moment: 0.3773 μB/atom
- Energy relative to the elements: -0.279 eV/atom
- Space group: C2/m (12)

Unit cell a=7.899 b=5.937 c=5.937 alpha=68.56 beta=79.94 gamma=79.94
Last column: magnetic moment on the atom in μB.
Sites, in units of the cell vectors:
Ce  0.353  0.092  0.654  0.32
Ce  0.647  0.346  0.908  0.32
Ce  0.900  0.340  0.340  0.91
Ce  0.647  0.908  0.346  0.32
Ce  0.100  0.660  0.660  0.91
Tc  0.500  0.500  0.500  -0.09
Ce  0.353  0.654  0.092  0.32
Au  0.000  0.000  0.000  0.01
Au  0.265  0.159  0.159  0.01
Au  0.735  0.841  0.841  0.01

Entry 4:
Material: La3HoTm2S6
Method: DFT, PBE
State: relaxed

- Formation energy (no corrections): -24.83 eV per formula unit
- Total magnetic moment: 0.0000 μB/atom
- Space group: C2/m (12)

Unit cell a=6.852 b=6.852 c=7.088 alpha=99.28 beta=99.28 gamma=120.11
Sites, in units of the cell vectors:
Tm  0.667  0.333  0.000
S  0.925  0.589  0.775
La  0.834  0.166  0.500
La  0.500  0.500  0.500
S  0.589  0.925  0.775
S  0.411  0.075  0.225
S  0.261  0.261  0.776
La  0.166  0.834  0.500
S  0.739  0.739  0.224
S  0.075  0.411  0.225
Tm  0.333  0.667  0.000
Ho  0.000  0.000  0.000

Entry 5:
Material: SrPrNbN3
Method: DFT, PBE
State: relaxed

- Formation energy (no corrections): -5.86 eV per formula unit
- Total magnetic moment: 0.0000 μB/atom
- Space group: C2/m (12)

Unit cell a=3.979 b=7.249 c=7.365 alpha=104.08 beta=90.00 gamma=105.93
Sites, in units of the cell vectors:
Pr  0.650  0.300  0.569
N  0.851  0.703  0.187
N  0.159  0.317  0.344
Nb  0.000  0.000  0.225
N  0.504  0.008  0.285
Nb  0.000  0.000  0.775
Pr  0.350  0.700  0.431
Sr  0.662  0.324  0.085
N  0.149  0.297  0.813
N  0.841  0.683  0.656
Sr  0.338  0.676  0.915
N  0.496  0.992  0.715

Entry 6:
Material: K3SnO
Method: DFT, PBE
State: relaxed

- Formation energy (no corrections): -2.01 eV per formula unit
- Total magnetic moment: 0.0005 μB/atom
- Offset from the most stable computed form: 0 meV per atom
- Space group: Pm-3m (221)

Unit cell a=5.460 b=5.460 c=5.460 alpha=90.00 beta=90.00 gamma=90.00
Sites, in units of the cell vectors:
K  0.000  0.000  0.500
O  0.000  0.000  0.000
K  0.500  0.000  0.000
K  0.000  0.500  0.000
Sn  0.500  0.500  0.500

Entry 7:
Material: Y5Se4S
Method: DFT, PBE
State: relaxed

- Formation energy (no corrections): -18.05 eV per formula unit
- Total magnetic moment: 0.0000 μB/atom
- Space group: I4/mmm (139)

Unit cell a=4.039 b=4.039 c=14.773 alpha=97.86 beta=97.86 gamma=90.00
Sites, in units of the cell vectors:
Y  0.705  0.705  0.411
Se  0.601  0.601  0.203
Se  0.399  0.399  0.797
Y  0.295  0.295  0.589
Y  0.907  0.907  0.815
Y  0.500  0.500  0.000
Se  0.805  0.805  0.610
Se  0.195  0.195  0.390
Y  0.093  0.093  0.185
S  0.000  0.000  0.000

Entry 8:
Material: Ce4RuPb
Method: DFT, PBE
State: relaxed

- Total magnetic moment: 0.0934 μB/atom
- Energy relative to the elements: -0.279 eV/atom
- Offset from the most stable computed form: 0 meV per atom
- Space group: C2/c (15)

Unit cell a=5.997 b=7.869 c=8.207 alpha=109.85 beta=100.48 gamma=112.49
Last column: magnetic moment on the atom in μB.
Sites, in units of the cell vectors:
Ce  0.292  0.649  0.835  0.07
Ce  0.957  0.814  0.165  0.07
Pb  0.636  0.386  0.772  0.00
Ru  0.737  0.987  0.974  -0.01
Ru  0.263  0.013  0.026  -0.01
Ce  0.043  0.186  0.835  0.07
Pb  0.364  0.614  0.228  0.00
Ce  0.812  0.752  0.616  0.17
Ce  0.696  0.136  0.384  0.17
Ce  0.188  0.248  0.384  0.17
Ce  0.708  0.351  0.165  0.07
Ce  0.304  0.864  0.616  0.17

What is the total magnetic moment in the third record?
0.3773 μB/atom